1.
VASP calculation (PBE) on crystalline Nd4TmS7 at its relaxed geometry.

Lattice parameters (Å, degrees): 6.901 6.901 11.860 104.57 104.57 33.04
Positions (direct):
Nd 0.000 0.000 0.000
Nd 0.190 0.190 0.768
Nd 0.587 0.587 0.381
Nd 0.888 0.888 0.571
Tm 0.776 0.776 0.152
S 0.158 0.158 0.221
S 0.227 0.227 0.522
S 0.382 0.382 0.079
S 0.549 0.549 0.626
S 0.633 0.633 0.934
S 0.848 0.848 0.790
S 0.926 0.926 0.351



2.
VASP calculation (PBE) on crystalline NdTmS3 at its relaxed geometry.

Lattice parameters (Å, degrees): 7.802 3.940 7.854 90.00 94.96 90.00
Positions (direct):
Nd 0.124 0.250 0.272
Nd 0.876 0.750 0.728
Tm 0.352 0.750 0.826
Tm 0.648 0.250 0.174
S 0.127 0.250 0.888
S 0.185 0.750 0.526
S 0.406 0.750 0.179
S 0.594 0.250 0.821
S 0.815 0.250 0.474
S 0.873 0.750 0.112



no.,calculated total energy (eV per cell)
1,-77.14
2,-63.82